VASP calculation (GGA-PBE) on a geometry-optimized La2SiAg structure.

Raw formation energy: -0.455 eV per atom
Calculated volume: 221 Å³/cell
Crystal system: monoclinic
Total magnetic moment: 0.6 μB/cell

abc: 4.481 6.289 8.461
angles: 111.84 90.00 90.00
Each line ends with the local moment (μB).
Atoms (fractional coordinates):
La 0.750 0.202 0.420  0.05
La 0.250 0.798 0.580  0.05
La 0.250 0.774 0.068  0.07
La 0.750 0.226 0.932  0.07
Si 0.750 0.666 0.293  -0.01
Si 0.250 0.334 0.707  -0.01
Ag 0.250 0.372 0.222  0.00
Ag 0.750 0.628 0.778  0.00